VASP calculation (PBE) on crystalline Tl5ZnAu4 at its relaxed geometry.

The structure in POSCAR format:
```
Tl5ZnAu4
1.0
-0.426 4.269 -0.754
-5.338 -1.153 -3.510
-4.393 -1.207 8.222
Tl Zn Au
5 1 4
Direct
0.129 0.291 0.257
0.222 0.747 0.445
0.778 0.253 0.555
0.500 0.500 0.000
0.871 0.709 0.743
0.500 0.000 0.000
0.644 0.956 0.288
0.954 0.193 0.907
0.356 0.044 0.712
0.046 0.807 0.093
```

Computed properties:
Its total magnetic moment is 0.00 μB per formula unit. Its formation energy is -2 kJ per mole of atoms. As for the space group: C2/m (12).

VASP calculation (PBE) on crystalline TlCuPdPt at its relaxed geometry.

The structure in POSCAR format:
```
TlCuPdPt
1.0
4.542 0.000 0.000
2.271 3.934 0.000
2.271 1.311 3.709
Tl Cu Pd Pt
1 1 1 1
Direct
0.000 0.000 0.000
0.500 0.500 0.500
0.250 0.250 0.250
0.750 0.750 0.750
```

Computed properties:
Its total magnetic moment is 0.00 μB per formula unit. Its formation energy is -6 kJ per mole of atoms. As for the space group: F-43m (216).

VASP calculation (PBE) on crystalline TbPm2MnSe5 at its relaxed geometry.

The structure in POSCAR format:
```
TbPm2MnSe5
1.0
-2.353 0.319 3.293
3.956 -7.937 1.093
9.339 5.500 6.139
Tb Pm Mn Se
2 4 2 10
Direct
0.819 0.639 0.525
0.181 0.361 0.025
0.882 0.765 0.846
0.121 0.242 0.694
0.118 0.235 0.346
0.879 0.758 0.194
0.553 0.106 0.925
0.447 0.894 0.425
0.345 0.689 0.018
0.690 0.381 0.857
0.494 0.989 0.749
0.303 0.605 0.689
0.986 0.972 0.522
0.655 0.311 0.518
0.310 0.619 0.357
0.506 0.011 0.249
0.697 0.395 0.189
0.014 0.028 0.022
```

Computed properties:
Its total magnetic moment is 4.31 μB per formula unit. For the final energy, the calculation gives -6.067 eV/atom. As for the space group: Cmc2_1 (36).

VASP calculation (PBE) on crystalline Sm5CdHg3 at its relaxed geometry.

The structure in POSCAR format:
```
Sm5CdHg3
1.0
6.787 0.000 0.000
0.000 9.320 0.000
0.000 -4.660 8.072
Sm Cd Hg
10 2 6
Direct
0.000 0.667 0.333
0.500 0.333 0.667
0.000 0.333 0.667
0.500 0.667 0.333
0.750 0.701 0.701
0.750 0.000 0.299
0.750 0.299 0.000
0.250 0.299 0.299
0.250 0.000 0.701
0.250 0.701 0.000
0.000 0.000 0.000
0.500 0.000 0.000
0.750 0.367 0.367
0.750 0.000 0.633
0.750 0.633 0.000
0.250 0.633 0.633
0.250 0.000 0.367
0.250 0.367 0.000
```

Computed properties:
Its total magnetic moment is 0.00 μB per formula unit. Its formation energy is -33 kJ per mole of atoms. As for the space group: P6_3/mcm (193).

VASP calculation (PBE) on crystalline Pm4BePd3 at its relaxed geometry.

The structure in POSCAR format:
```
Pm4BePd3
1.0
-0.358 2.915 2.568
-4.148 -1.382 0.990
4.027 -6.444 7.875
Be Pd Pm
1 3 4
Direct
0.500 0.500 0.064
0.000 0.500 0.586
0.000 0.000 0.417
0.500 0.000 0.937
0.500 0.500 0.360
0.000 0.500 0.861
0.000 0.000 0.139
0.500 0.000 0.636
```

Computed properties:
Its total magnetic moment is 0.00 μB per formula unit. Its formation energy is -56 kJ per mole of atoms. As for the space group: Pmm2 (25).

VASP calculation (PBE) on crystalline Th4CoAu at its relaxed geometry.

The structure in POSCAR format:
```
Th4CoAu
1.0
-0.825 -2.889 5.188
1.479 -6.294 -3.269
7.022 0.830 1.579
Th Co Au
8 2 2
Direct
0.000 0.179 0.651
0.000 0.821 0.349
0.000 0.349 0.179
0.000 0.651 0.821
0.500 0.821 0.651
0.500 0.179 0.349
0.500 0.651 0.179
0.500 0.349 0.821
0.250 0.500 0.500
0.750 0.500 0.500
0.250 0.000 0.000
0.750 0.000 0.000
```

Computed properties:
Its total magnetic moment is 0.00 μB per formula unit. Its formation energy is -30 kJ per mole of atoms. As for the space group: P4/mcc (124).

VASP calculation (PBE) on crystalline Pm2MgBePd6 at its relaxed geometry.

The structure in POSCAR format:
```
Pm2MgBePd6
1.0
-5.630 0.420 -1.576
-0.534 -7.251 -0.005
-4.378 -4.611 3.538
Pm Mg Be Pd
2 1 1 6
Direct
0.733 0.269 0.536
0.267 0.731 0.464
0.000 0.000 0.000
0.500 0.500 0.000
0.264 0.220 0.473
0.785 0.738 0.952
0.264 0.738 0.954
0.736 0.262 0.046
0.215 0.262 0.048
0.736 0.780 0.527
```

Computed properties:
Its total magnetic moment is 0.00 μB per formula unit. Its formation energy is -59 kJ per mole of atoms. As for the space group: P-1 (2).

VASP calculation (PBE) on crystalline Rb2YAsF6 at its relaxed geometry.

The structure in POSCAR format:
```
Rb2YAsF6
1.0
-1.515 -5.942 -0.030
4.612 -1.157 -3.873
5.161 -4.494 2.633
Y As Rb F
1 1 2 6
Direct
0.000 0.000 0.000
0.500 0.500 0.000
0.750 0.250 0.500
0.250 0.750 0.500
0.184 0.184 0.633
0.816 0.816 0.367
0.251 0.251 0.000
0.749 0.749 0.000
0.749 0.251 0.000
0.251 0.749 0.000
```

Computed properties:
Its total magnetic moment is 0.00 μB per formula unit. For the final energy, the calculation gives -5.211 eV/atom. As for the space group: I4/mmm (139).